# 1
! Rb2NaCd, relaxed, DFT PBE-GGA; values from VASP
! - total moment (μB/cell) = 0.00
! - VASP energy (eV per cell) = -8.4
! - symmetry = Cm, No. 8
! - formation energy from the elements (eV per formula unit) = -0.03
&SYSTEM
  ibrav = 0, nat = 8, ntyp = 3
/
ATOMIC_SPECIES
Rb 85.47 Rb.upf
Na 22.99 Na.upf
Cd 112.41 Cd.upf
ATOMIC_POSITIONS angstrom
Rb -4.298 0.889 4.379
Rb -7.529 4.317 6.976
Rb -5.365 -0.921 0.018
Rb -10.501 0.564 6.633
Na -9.215 2.592 10.530
Na -7.379 -2.055 4.562
Cd -12.171 3.404 11.614
Cd -4.421 -2.864 3.475
CELL_PARAMETERS angstrom
-4.416 0.582 -1.812
-4.760 -4.665 3.724
-5.516 7.623 9.511



# 2
! PuMg2Pd9, relaxed, DFT PBE-GGA; values from VASP
! - total moment (μB/cell) = 4.35
! - VASP energy (eV per cell) = -70.2
! - symmetry = P4/mmm, No. 123
! - formation energy from the elements (eV per formula unit) = -5.96
&SYSTEM
  ibrav = 0, nat = 12, ntyp = 3
/
ATOMIC_SPECIES
Pd 106.42 Pd.upf
Pu 244.00 Pu.upf
Mg 24.30 Mg.upf
ATOMIC_POSITIONS angstrom
Pd -0.609 -9.904 1.419
Pd -1.278 -8.246 -0.755
Pd 1.161 -2.620 -0.495
Pd -2.474 -5.773 -0.222
Pd -3.360 -9.415 0.735
Pd 0.523 -0.837 -2.701
Pd -1.589 -2.131 -1.178
Pd -0.398 -4.625 -1.706
Pd 0.276 -6.262 0.462
Pu 0.000 0.000 0.000
Mg -1.794 -7.383 1.940
Mg -0.927 -3.815 1.002
CELL_PARAMETERS angstrom
-2.227 -0.348 -3.385
3.273 -1.326 -2.017
-2.722 -11.198 2.942



# 3
! La2InAu2, relaxed, DFT PBE-GGA; values from VASP
! - total moment (μB/cell) = 0.00
! - VASP energy (eV per cell) = -21.9
! - symmetry = I4/mmm, No. 139
! - formation energy from the elements (eV per formula unit) = -2.79
&SYSTEM
  ibrav = 0, nat = 5, ntyp = 3
/
ATOMIC_SPECIES
La 138.91 La.upf
Au 196.97 Au.upf
In 114.82 In.upf
ATOMIC_POSITIONS angstrom
La 2.922 5.844 2.165
La 5.844 2.922 2.165
Au 2.922 2.922 1.310
Au 5.844 5.844 3.020
In 0.000 0.000 0.000
CELL_PARAMETERS angstrom
5.844 0.000 0.000
0.000 5.844 0.000
2.922 2.922 4.331



# 4
! Li2CaRu, relaxed, DFT PBE-GGA; values from VASP
! - total moment (μB/cell) = 0.00
! - VASP energy (eV per cell) = -14.0
! - symmetry = C2/m, No. 12
! - formation energy from the elements (eV per formula unit) = 1.06
! - relative energy among the computed polymorphs (meV/atom) = 4
&SYSTEM
  ibrav = 0, nat = 4, ntyp = 3
/
ATOMIC_SPECIES
Li 6.94 Li.upf
Ca 40.08 Ca.upf
Ru 101.07 Ru.upf
ATOMIC_POSITIONS angstrom
Li -4.351 2.220 -3.692
Li -4.372 3.719 -8.135
Ca -6.800 3.254 -5.128
Ru -2.267 1.085 -1.709
CELL_PARAMETERS angstrom
-1.791 3.236 -3.750
-2.398 0.535 -4.658
-4.877 0.569 1.570



# 5
! Al2Zn4Ag, relaxed, DFT PBE-GGA; values from VASP
! - total moment (μB/cell) = 0.00
! - VASP energy (eV per cell) = -12.6
! - symmetry = I4/mmm, No. 139
! - formation energy from the elements (eV per formula unit) = 2.82
! - relative energy among the computed polymorphs (meV/atom) = 335
&SYSTEM
  ibrav = 0, nat = 7, ntyp = 3
/
ATOMIC_SPECIES
Zn 65.41 Zn.upf
Ag 107.87 Ag.upf
Al 26.98 Al.upf
ATOMIC_POSITIONS angstrom
Zn 2.471 0.000 0.000
Zn 0.000 0.000 2.532
Zn 2.471 2.471 3.836
Zn 0.000 2.471 0.000
Ag 0.000 0.000 0.000
Al 0.000 0.000 5.028
Al 2.471 2.471 1.339
CELL_PARAMETERS angstrom
4.941 0.000 0.000
0.000 4.941 0.000
-2.471 -2.471 6.368



# 6
! TaNiMo, relaxed, DFT PBE-GGA; values from VASP
! - total moment (μB/cell) = 0.00
! - VASP energy (eV per cell) = -57.1
! - symmetry = P1, No. 1
! - formation energy from the elements (eV per formula unit) = -0.09
! - relative energy among the computed polymorphs (meV/atom) = 62
&SYSTEM
  ibrav = 0, nat = 6, ntyp = 3
/
ATOMIC_SPECIES
Ta 180.95 Ta.upf
Ni 58.69 Ni.upf
Mo 95.94 Mo.upf
ATOMIC_POSITIONS angstrom
Ta 3.746 3.462 5.961
Ta 3.539 3.660 1.952
Ni 1.331 0.973 1.666
Ni 2.229 4.726 3.930
Mo 2.945 6.036 6.069
Mo 2.589 1.872 3.786
CELL_PARAMETERS angstrom
2.718 0.002 -0.002
1.103 5.152 0.008
1.349 1.288 6.448



# 7
! Zr6NiRu5, relaxed, DFT PBE-GGA; values from VASP
! - total moment (μB/cell) = 0.00
! - VASP energy (eV per cell) = -110.4
! - symmetry = C2/m, No. 12
! - formation energy from the elements (eV per formula unit) = -6.96
&SYSTEM
  ibrav = 0, nat = 12, ntyp = 3
/
ATOMIC_SPECIES
Zr 91.22 Zr.upf
Ru 101.07 Ru.upf
Ni 58.69 Ni.upf
ATOMIC_POSITIONS angstrom
Zr 2.568 -3.944 -2.691
Zr 0.384 -2.748 -0.560
Zr 2.658 -0.717 0.628
Zr 3.560 -3.004 2.817
Zr 4.839 -1.911 -1.500
Zr 1.380 -1.810 4.945
Ru 3.166 -0.251 3.385
Ru 0.885 -2.282 2.187
Ru 3.053 -3.470 0.061
Ru 2.173 -1.189 -2.121
Ru 5.333 -1.439 1.258
Ni 0.000 0.000 0.000
CELL_PARAMETERS angstrom
-1.394 -4.313 0.991
4.346 -2.379 -4.241
3.267 2.970 6.696



# 8
! Pm2Ho2In7, relaxed, DFT PBE-GGA; values from VASP
! - total moment (μB/cell) = 0.00
! - VASP energy (eV per cell) = -37.7
! - symmetry = Cmmm, No. 65
! - formation energy from the elements (eV per formula unit) = 0.09
&SYSTEM
  ibrav = 0, nat = 11, ntyp = 3
/
ATOMIC_SPECIES
Ho 164.93 Ho.upf
In 114.82 In.upf
Pm 145.00 Pm.upf
ATOMIC_POSITIONS angstrom
Ho -1.138 -1.505 3.730
Ho -5.441 0.899 5.622
In -3.346 0.566 3.442
In -3.179 -2.207 1.459
In -3.400 1.601 7.893
In 0.039 -0.320 6.382
In -3.233 -1.172 5.910
In -6.618 -0.286 2.970
In 0.000 0.000 0.000
Pm -2.223 3.351 2.459
Pm -4.356 -3.957 6.893
CELL_PARAMETERS angstrom
-6.542 -1.731 -0.909
0.297 -4.448 6.329
-0.334 5.572 3.932



# 9
! PuTc2Ge, relaxed, DFT PBE-GGA; values from VASP
! - total moment (μB/cell) = 3.27
! - VASP energy (eV per cell) = -38.5
! - symmetry = R-3m, No. 166
! - formation energy from the elements (eV per formula unit) = 1.23
! - relative energy among the computed polymorphs (meV/atom) = 436
&SYSTEM
  ibrav = 0, nat = 4, ntyp = 3
/
ATOMIC_SPECIES
Tc 98.00 Tc.upf
Pu 244.00 Pu.upf
Ge 72.64 Ge.upf
ATOMIC_POSITIONS angstrom
Tc -3.019 4.790 0.914
Tc 1.225 5.152 3.821
Pu 0.000 0.000 0.000
Ge -0.897 4.971 2.367
CELL_PARAMETERS angstrom
-1.295 2.261 -1.464
-2.729 0.927 0.794
2.230 6.753 5.404



# 10
! CaCd2Hg9, relaxed, DFT PBE-GGA; values from VASP
! - total moment (μB/cell) = 0.00
! - VASP energy (eV per cell) = -7.9
! - symmetry = P4/mmm, No. 123
! - formation energy from the elements (eV per formula unit) = -1.31
&SYSTEM
  ibrav = 0, nat = 12, ntyp = 3
/
ATOMIC_SPECIES
Hg 200.59 Hg.upf
Cd 112.41 Cd.upf
Ca 40.08 Ca.upf
ATOMIC_POSITIONS angstrom
Hg 0.000 2.614 9.245
Hg 2.614 0.000 5.611
Hg 0.000 2.614 1.977
Hg 2.614 0.000 1.977
Hg 2.614 2.614 0.000
Hg 0.000 2.614 5.611
Hg 2.614 2.614 3.795
Hg 2.614 0.000 9.245
Hg 2.614 2.614 7.427
Cd 0.000 0.000 3.776
Cd 0.000 0.000 7.445
Ca 0.000 0.000 0.000
CELL_PARAMETERS angstrom
5.228 0.000 0.000
0.000 5.228 0.000
0.000 0.000 11.222



# 11
! BiRuCl2, relaxed, DFT PBE-GGA; values from VASP
! - total moment (μB/cell) = 1.75
! - VASP energy (eV per cell) = -15.9
! - ΔE_f (raw) (eV per atom) = 0.23
! - symmetry = R-3m, No. 166
! - relative energy among the computed polymorphs (meV/atom) = 0
&SYSTEM
  ibrav = 0, nat = 4, ntyp = 3
/
ATOMIC_SPECIES
Cl 35.45 Cl.upf
Bi 208.98 Bi.upf
Ru 101.07 Ru.upf
ATOMIC_POSITIONS angstrom
Cl 0.000 0.000 26.036
Cl 0.000 0.000 2.280
Bi 0.000 0.000 14.158
Ru 0.000 0.000 0.000
CELL_PARAMETERS angstrom
1.917 0.000 9.439
-0.958 1.660 9.439
-0.958 -1.660 9.439



# 12
! Na2PtRh2Se6, relaxed, DFT PBE-GGA; values from VASP
! - total moment (μB/cell) = 0.00
! - VASP energy (eV per cell) = -51.0
! - ΔE_f (raw) (eV per atom) = -0.61
! - symmetry = C2/m, No. 12
&SYSTEM
  ibrav = 0, nat = 11, ntyp = 4
/
ATOMIC_SPECIES
Se 78.96 Se.upf
Na 22.99 Na.upf
Pt 195.08 Pt.upf
Rh 102.91 Rh.upf
ATOMIC_POSITIONS angstrom
Se 1.595 2.742 4.751
Se 3.830 2.779 2.228
Se 0.536 0.921 2.130
Se 1.608 -1.040 4.654
Se 0.523 4.702 2.228
Se -1.699 0.884 4.654
Na -1.670 4.762 0.074
Na 4.965 0.902 0.074
Pt -0.582 -1.001 3.367
Rh -0.586 2.792 3.441
Rh 2.717 0.870 3.441
CELL_PARAMETERS angstrom
6.568 -0.031 0.074
-3.274 5.695 0.074
-1.164 -2.001 6.735



# 13
! K2SrUCl8, relaxed, DFT PBE-GGA; values from VASP
! - total moment (μB/cell) = 2.00
! - VASP energy (eV per cell) = -53.8
! - ΔE_f (raw) (eV per atom) = -1.98
! - symmetry = P-1, No. 2
&SYSTEM
  ibrav = 0, nat = 12, ntyp = 4
/
ATOMIC_SPECIES
Sr 87.62 Sr.upf
Cl 35.45 Cl.upf
U 238.03 U.upf
K 39.10 K.upf
ATOMIC_POSITIONS angstrom
Sr 2.421 3.743 0.255
Cl 0.141 10.225 5.093
Cl -4.052 4.946 0.717
Cl -0.396 2.246 5.519
Cl -1.338 9.111 0.990
Cl 0.450 4.918 1.835
Cl -1.874 1.132 1.415
Cl -2.183 6.439 4.673
Cl 2.318 6.410 5.792
U 0.000 0.000 0.000
K -2.055 3.852 3.131
K 0.322 7.504 3.378
CELL_PARAMETERS angstrom
-5.880 3.881 -0.896
-0.696 -0.011 6.895
4.842 7.487 0.509



# 14
! SrIr5, relaxed, DFT PBE-GGA; values from VASP
! - total moment (μB/cell) = 0.00
! - VASP energy (eV per cell) = -44.0
! - symmetry = Cmmm, No. 65
! - formation energy from the elements (eV per formula unit) = 2.03
&SYSTEM
  ibrav = 0, nat = 6, ntyp = 2
/
ATOMIC_SPECIES
Ir 192.22 Ir.upf
Sr 87.62 Sr.upf
ATOMIC_POSITIONS angstrom
Ir -2.952 1.946 0.770
Ir 3.261 2.872 -1.059
Ir -0.273 0.951 1.736
Ir 1.319 3.295 0.703
Ir -4.347 0.467 -0.940
Sr -0.543 1.670 -1.000
CELL_PARAMETERS angstrom
5.388 3.544 -1.093
-6.474 -0.205 -0.907
-0.547 1.902 3.473



# 15
! Y2TaOs, relaxed, DFT PBE-GGA; values from VASP
! - total moment (μB/cell) = 0.00
! - VASP energy (eV per cell) = -34.4
! - symmetry = I4/mmm, No. 139
! - formation energy from the elements (eV per formula unit) = 1.62
! - relative energy among the computed polymorphs (meV/atom) = 472
&SYSTEM
  ibrav = 0, nat = 4, ntyp = 3
/
ATOMIC_SPECIES
Os 190.23 Os.upf
Ta 180.95 Ta.upf
Y 88.91 Y.upf
ATOMIC_POSITIONS angstrom
Os -2.337 -2.053 0.846
Ta -1.687 -1.892 -1.992
Y 0.000 0.000 0.000
Y -1.283 -4.754 -0.564
CELL_PARAMETERS angstrom
-0.633 -4.592 -3.402
-1.933 -4.915 2.274
-1.458 5.562 -0.018



# 16
! TeH2Os, relaxed, DFT PBE-GGA; values from VASP
! - total moment (μB/cell) = 0.00
! - VASP energy (eV per cell) = -15.9
! - symmetry = Fm-3m, No. 225
! - relative energy among the computed polymorphs (meV/atom) = 609
&SYSTEM
  ibrav = 0, nat = 4, ntyp = 3
/
ATOMIC_SPECIES
Os 190.23 Os.upf
H 1.01 H.upf
Te 127.60 Te.upf
ATOMIC_POSITIONS angstrom
Os 2.823 2.823 2.823
H 1.412 1.412 1.412
H 4.235 4.235 4.235
Te 0.000 0.000 0.000
CELL_PARAMETERS angstrom
0.000 2.823 2.823
2.823 0.000 2.823
2.823 2.823 0.000



# 17
! HfSbTe2Au, relaxed, DFT PBE-GGA; values from VASP
! - total moment (μB/cell) = 0.00
! - VASP energy (eV per cell) = -22.0
! - ΔE_f (raw) (eV per atom) = 0.32
! - symmetry = P4/mmm, No. 123
! - relative energy among the computed polymorphs (meV/atom) = 0
&SYSTEM
  ibrav = 0, nat = 5, ntyp = 4
/
ATOMIC_SPECIES
Te 127.60 Te.upf
Sb 121.76 Sb.upf
Hf 178.49 Hf.upf
Au 196.97 Au.upf
ATOMIC_POSITIONS angstrom
Te 0.549 -1.735 -2.040
Te -2.668 -0.533 -0.265
Sb 0.235 -2.086 1.837
Hf 0.000 0.000 0.000
Au -1.885 -4.354 -0.468
CELL_PARAMETERS angstrom
-5.337 -1.066 -0.529
1.098 -3.470 -4.081
0.469 -4.172 3.674



# 18
! Er4SbC, relaxed, DFT PBE-GGA; values from VASP
! - total moment (μB/cell) = 0.00
! - VASP energy (eV per cell) = -66.8
! - ΔE_f (raw) (eV per atom) = -0.30
! - symmetry = P2_1/m, No. 11
&SYSTEM
  ibrav = 0, nat = 12, ntyp = 3
/
ATOMIC_SPECIES
Er 167.26 Er.upf
C 12.01 C.upf
Sb 121.76 Sb.upf
ATOMIC_POSITIONS angstrom
Er 1.756 0.527 7.262
Er 4.798 0.847 5.308
Er 4.798 0.847 9.217
Er 0.066 5.123 2.421
Er -2.977 4.803 4.376
Er 0.562 4.287 7.262
Er 1.259 1.364 2.421
Er -2.977 4.803 0.466
C -3.545 5.719 2.421
C 5.366 -0.068 7.262
Sb 3.430 3.041 7.262
Sb -1.609 2.609 2.421
CELL_PARAMETERS angstrom
5.852 -0.818 0.000
-4.031 6.468 0.000
0.000 0.000 9.683



# 19
! Mg2AgAsOs, relaxed, DFT PBE-GGA; values from VASP
! - total moment (μB/cell) = 1.88
! - VASP energy (eV per cell) = -15.8
! - symmetry = P4/mmm, No. 123
! - formation energy from the elements (eV per formula unit) = 6.14
&SYSTEM
  ibrav = 0, nat = 5, ntyp = 4
/
ATOMIC_SPECIES
Os 190.23 Os.upf
Mg 24.30 Mg.upf
As 74.92 As.upf
Ag 107.87 Ag.upf
ATOMIC_POSITIONS angstrom
Os 2.452 2.365 2.452
Mg 0.000 0.000 2.452
Mg 2.452 0.000 0.000
As 0.000 2.365 0.000
Ag 0.000 0.000 0.000
CELL_PARAMETERS angstrom
4.903 0.000 0.000
0.000 4.730 0.000
0.000 0.000 4.903



# 20
! Rb2SrSiO4, relaxed, DFT PBE-GGA; values from VASP
! - total moment (μB/cell) = 0.00
! - VASP energy (eV per cell) = -91.4
! - ΔE_f (raw) (eV per atom) = -2.10
! - symmetry = Fddd, No. 70
&SYSTEM
  ibrav = 0, nat = 16, ntyp = 4
/
ATOMIC_SPECIES
O 16.00 O.upf
Rb 85.47 Rb.upf
Si 28.09 Si.upf
Sr 87.62 Sr.upf
ATOMIC_POSITIONS angstrom
O -10.178 -12.168 2.893
O -3.756 -4.511 -3.768
O -9.172 -8.346 0.317
O -5.882 -6.639 2.607
O -5.173 -6.929 0.028
O -3.695 -5.328 1.832
O -3.694 -1.566 -1.014
O -6.292 -8.997 6.673
Rb -6.627 -3.569 -2.755
Rb -8.152 -10.218 4.391
Rb -4.022 -5.418 4.888
Rb -6.399 -3.657 2.062
Si -4.571 -6.727 1.574
Si -2.818 -0.166 -0.756
Sr -7.389 -6.894 0.818
Sr 0.000 0.000 0.000
CELL_PARAMETERS angstrom
-5.636 -0.333 -1.512
-1.540 -4.546 -4.558
-4.785 -8.743 8.462